Entry 1:
! PBE HfZrAgHg, relaxed; values from VASP
&SYSTEM
  ibrav = 0, nat = 4, ntyp = 4
/
ATOMIC_SPECIES
Ag 107.87 Ag.upf
Hg 200.59 Hg.upf
Hf 178.49 Hf.upf
Zr 91.22 Zr.upf
CELL_PARAMETERS angstrom
4.904 0.000 0.000
2.452 4.247 0.000
2.452 1.416 4.004
ATOMIC_POSITIONS crystal
Ag 0.250 0.250 0.250
Hg 0.750 0.750 0.750
Hf 0.500 0.500 0.500
Zr 0.000 0.000 0.000
! offset from the most stable computed form	0.000	eV per atom
! energy of formation	0.001	eV/atom
! spin magnetization	0.02	μB/f.u.
! total DFT energy (no corrections)	-21.65	eV per formula unit
! space group	No. 216

Entry 2:
! PBE Fe2Si2Hg, relaxed; values from VASP
&SYSTEM
  ibrav = 0, nat = 5, ntyp = 3
/
ATOMIC_SPECIES
Hg 200.59 Hg.upf
Si 28.09 Si.upf
Fe 55.84 Fe.upf
CELL_PARAMETERS angstrom
3.480 0.000 0.000
0.000 3.480 0.000
1.740 1.740 5.743
ATOMIC_POSITIONS crystal
Hg 0.000 0.000 0.000
Si 0.250 0.750 0.500
Si 0.750 0.250 0.500
Fe 0.615 0.615 0.771
Fe 0.385 0.385 0.229
! offset from the most stable computed form	0.000	eV per atom
! spin magnetization	1.10	μB/f.u.
! total DFT energy (no corrections)	-28.14	eV per formula unit
! energy relative to the elements, uncorrected	-0.0126	eV per atom
! space group	No. 139

Entry 3:
! PBE TbErRhAu, relaxed; values from VASP
&SYSTEM
  ibrav = 0, nat = 4, ntyp = 4
/
ATOMIC_SPECIES
Tb 158.93 Tb.upf
Er 167.26 Er.upf
Au 196.97 Au.upf
Rh 102.91 Rh.upf
CELL_PARAMETERS angstrom
-0.566 -2.454 2.464
-1.499 -2.081 -2.416
6.189 -2.833 -1.401
ATOMIC_POSITIONS crystal
Tb 0.000 0.000 0.843
Er 0.000 0.000 0.369
Au 0.500 0.500 0.113
Rh 0.500 0.500 0.602
! offset from the most stable computed form	0.000	eV per atom
! energy of formation	-0.864	eV/atom
! spin magnetization	0.00	μB/f.u.
! total DFT energy (no corrections)	-23.28	eV per formula unit
! space group	No. 99

Entry 4:
! PBE Tb6PmSe8, relaxed; values from VASP
&SYSTEM
  ibrav = 0, nat = 15, ntyp = 3
/
ATOMIC_SPECIES
Se 78.96 Se.upf
Tb 158.93 Tb.upf
Pm 145.00 Pm.upf
CELL_PARAMETERS angstrom
-5.339 -0.321 6.182
2.681 -0.828 7.678
-0.580 6.257 5.229
ATOMIC_POSITIONS crystal
Se 0.258 0.258 0.742
Se 0.742 0.258 0.742
Se 0.750 0.750 0.750
Se 0.258 0.742 0.258
Se 0.742 0.742 0.258
Se 0.742 0.258 0.258
Se 0.258 0.742 0.742
Se 0.250 0.250 0.250
Tb 0.000 0.000 0.500
Tb 0.000 0.500 0.000
Tb 0.500 0.000 0.000
Tb 0.000 0.500 0.500
Tb 0.500 0.000 0.500
Tb 0.500 0.500 0.000
Pm 0.000 0.000 0.000
! offset from the most stable computed form	0.000	eV per atom
! spin magnetization	0.00	μB/f.u.
! total DFT energy (no corrections)	-88.10	eV per formula unit
! energy relative to the elements, uncorrected	-1.8463	eV per atom
! space group	No. 225

Entry 5:
! PBE AgHPd3, relaxed; values from VASP
&SYSTEM
  ibrav = 0, nat = 10, ntyp = 3
/
ATOMIC_SPECIES
Pd 106.42 Pd.upf
Ag 107.87 Ag.upf
H 1.01 H.upf
CELL_PARAMETERS angstrom
4.987 -0.006 -0.002
0.875 4.851 -0.002
3.347 0.307 5.503
ATOMIC_POSITIONS crystal
Pd 0.280 0.856 0.901
Pd 0.399 0.611 0.282
Pd 0.650 0.110 0.035
Pd 0.033 0.362 0.152
Pd 0.524 0.361 0.659
Pd 0.778 0.856 0.405
Ag 0.897 0.611 0.785
Ag 0.142 0.110 0.540
H 0.621 0.309 0.349
H 0.256 0.005 0.149
! offset from the most stable computed form	0.017	eV per atom
! spin magnetization	0.00	μB/f.u.
! total DFT energy (no corrections)	-22.06	eV per formula unit
! space group	No. 1

Entry 6:
! PBE SrLa2In9, relaxed; values from VASP
&SYSTEM
  ibrav = 0, nat = 12, ntyp = 3
/
ATOMIC_SPECIES
In 114.82 In.upf
La 138.91 La.upf
Sr 87.62 Sr.upf
CELL_PARAMETERS angstrom
4.812 0.000 0.000
0.000 4.812 0.000
0.000 0.000 14.436
ATOMIC_POSITIONS crystal
In 0.500 0.000 0.500
In 0.000 0.500 0.831
In 0.500 0.000 0.831
In 0.000 0.500 0.169
In 0.500 0.000 0.169
In 0.500 0.500 0.334
In 0.000 0.500 0.500
In 0.500 0.500 0.000
In 0.500 0.500 0.666
La 0.000 0.000 0.664
La 0.000 0.000 0.336
Sr 0.000 0.000 0.000
! energy of formation	-0.422	eV/atom
! spin magnetization	0.00	μB/f.u.
! total DFT energy (no corrections)	-41.25	eV per formula unit
! space group	No. 123

Entry 7:
! PBE AcO, relaxed; values from VASP
&SYSTEM
  ibrav = 0, nat = 4, ntyp = 2
/
ATOMIC_SPECIES
Ac 227.00 Ac.upf
O 16.00 O.upf
CELL_PARAMETERS angstrom
-3.747 1.233 -1.908
-0.018 -1.431 4.141
0.798 5.227 1.809
ATOMIC_POSITIONS crystal
Ac 0.333 0.667 0.438
Ac 0.000 0.000 0.938
O 0.000 0.000 0.437
O 0.333 0.667 0.937
! offset from the most stable computed form	0.000	eV per atom
! spin magnetization	0.63	μB/f.u.
! total DFT energy (no corrections)	-14.23	eV per formula unit
! energy relative to the elements, uncorrected	-2.5829	eV per atom
! space group	No. 194

Entry 8:
! PBE NbTlCu2, relaxed; values from VASP
&SYSTEM
  ibrav = 0, nat = 4, ntyp = 3
/
ATOMIC_SPECIES
Tl 204.38 Tl.upf
Cu 63.55 Cu.upf
Nb 92.91 Nb.upf
CELL_PARAMETERS angstrom
0.000 3.191 3.191
3.191 0.000 3.191
3.191 3.191 0.000
ATOMIC_POSITIONS crystal
Tl 0.500 0.500 0.500
Cu 0.250 0.250 0.250
Cu 0.750 0.750 0.750
Nb 0.000 0.000 0.000
! offset from the most stable computed form	0.000	eV per atom
! energy of formation	0.371	eV/atom
! spin magnetization	0.00	μB/f.u.
! total DFT energy (no corrections)	-19.14	eV per formula unit
! space group	No. 225